## CaMnCuSi (PBE-GGA)

Data for an optimized crystal structure of CaMnCuSi.

Cell: 4.1487 4.1487 15.5989 Å, 90.00 90.00 120.00°
Space group R3m (No. 160, hexagonal axes)
Symmetry-distinct sites (fractional):
Ca (0.0000, 0.0000, 0.0000) [3 per cell]
Mn (0.0000, 0.0000, 0.1946) [3 per cell]
Cu (0.0000, 0.0000, 0.8077) [3 per cell]
Si (0.0000, 0.0000, 0.4863) [3 per cell]

Results
ΔE to the lowest computed polymorph ... 50 meV per atom
Crystal system ... trigonal
Total energy ... -5.276 eV per atom
Density of states at the Fermi level ... 6.968 states/eV per cell
ΔE_f (raw) ... -0.1031 eV per atom

## CaFe2PPd (PBE-GGA)

Data for an optimized crystal structure of CaFe2PPd.

Cell: 4.1561 4.1561 5.2911 Å, 90.00 90.00 90.00°
Space group P4/mmm (No. 123)
Symmetry-distinct sites (fractional):
Ca (0.0000, 0.0000, 0.0000) [1 per cell]
Fe (0.0000, 0.5000, 0.5000) [2 per cell]
P (0.0000, 0.0000, 0.5000) [1 per cell]
Pd (0.5000, 0.5000, 0.0000) [1 per cell]

Results
Crystal system ... tetragonal
Total energy ... -5.757 eV per atom
Density of states at the Fermi level ... 4.278 states/eV per cell

## RbPHRuC (PBE-GGA)

Data for an optimized crystal structure of RbPHRuC.

Cell: 3.7892 4.5033 5.7597 Å, 83.82 88.90 77.12°
Space group P1 (No. 1)
Symmetry-distinct sites (fractional):
Rb (0.0000, 0.0000, 0.0000) [1 per cell]
P (0.5445, 0.8639, 0.5117) [1 per cell]
H (0.3940, 0.3949, 0.1863) [1 per cell]
Ru (0.4209, 0.3894, 0.4674) [1 per cell]
C (0.9004, 0.5495, 0.4888) [1 per cell]

Results
ΔE to the lowest computed polymorph ... 0 meV per atom
Crystal system ... triclinic
Total energy ... -5.506 eV per atom
Density of states at the Fermi level ... 0.677 states/eV per cell

## Sr3Cd2RhO6 (PBE-GGA)

Data for an optimized crystal structure of Sr3Cd2RhO6.

Cell: 5.8402 5.8402 6.6348 Å, 90.00 90.00 120.00°
Space group P-3m1 (No. 164)
Symmetry-distinct sites (fractional):
Sr (0.0000, 0.0000, 0.0000) [1 per cell]
Sr (0.3333, 0.6667, 0.6028) [2 per cell]
Cd (0.3333, 0.6667, 0.1075) [2 per cell]
Rh (0.0000, 0.0000, 0.5000) [1 per cell]
O (0.1606, 0.3212, 0.3192) [6 per cell]

Results
Crystal system ... trigonal
Total energy ... -5.223 eV per atom
Density of states at the Fermi level ... 7.951 states/eV per cell
ΔE_f (raw) ... -1.5585 eV per atom

## Zr4ScHg (PBE-GGA)

Data for an optimized crystal structure of Zr4ScHg.

Cell: 8.2454 8.2454 8.2454 Å, 90.00 90.00 90.00°
Space group F-43m (No. 216)
Symmetry-distinct sites (fractional):
Zr (0.1230, 0.1230, 0.3770) [16 per cell]
Sc (0.2500, 0.2500, 0.7500) [4 per cell]
Hg (0.0000, 0.0000, 0.0000) [4 per cell]

Results
Crystal system ... cubic
Total energy ... -6.603 eV per atom
Density of states at the Fermi level ... 31.147 states/eV per cell

## CaSnSb (PBE-GGA)

Data for an optimized crystal structure of CaSnSb.

Cell: 8.4913 11.8403 15.7193 Å, 90.00 90.00 90.00°
Space group Fddd (No. 70, origin choice 2)
Symmetry-distinct sites (fractional):
Ca (0.1250, 0.1250, 0.3167) [16 per cell]
Sn (0.0000, 0.0000, 0.5000) [16 per cell]
Sb (0.0435, 0.3750, 0.3750) [16 per cell]

Results
Crystal system ... orthorhombic
Total energy ... -3.738 eV per atom
Density of states at the Fermi level ... 22.492 states/eV per cell
ΔE_f (raw) ... -0.3626 eV per atom

## Mn3Tc (PBE-GGA)

Data for an optimized crystal structure of Mn3Tc.

Cell: 2.5908 2.5908 8.1845 Å, 90.00 90.00 120.00°
Space group P-6m2 (No. 187)
Symmetry-distinct sites (fractional):
Mn (0.0000, 0.0000, 0.0000) [1 per cell]
Mn (0.6667, 0.3333, 0.2372) [2 per cell]
Tc (0.0000, 0.0000, 0.5000) [1 per cell]

Results
Crystal system ... hexagonal
Total energy ... -9.325 eV per atom
Density of states at the Fermi level ... 6.192 states/eV per cell

## Pa6ReTc3 (PBE-GGA)

Data for an optimized crystal structure of Pa6ReTc3.

Cell: 11.9783 11.9783 11.7801 Å, 90.00 90.00 120.00°
Space group R-3 (No. 148, hexagonal axes)
Symmetry-distinct sites (fractional):
Pa (0.0198, 0.8085, 0.3836) [18 per cell]
Pa (0.0660, 0.8514, 0.8726) [18 per cell]
Re (0.0000, 0.0000, 0.0000) [3 per cell]
Re (0.0000, 0.0000, 0.5000) [3 per cell]
Tc (0.0314, 0.7518, 0.6338) [18 per cell]

Results
Crystal system ... trigonal
Total energy ... -9.950 eV per atom
Density of states at the Fermi level ... 95.100 states/eV per cell

## PrMgGa4Pd2 (PBE-GGA)

Data for an optimized crystal structure of PrMgGa4Pd2.

Cell: 4.3829 4.3829 27.0461 Å, 90.00 90.00 120.00°
Space group R-3m (No. 166, hexagonal axes)
Symmetry-distinct sites (fractional):
Pr (0.0000, 0.0000, 0.0000) [3 per cell]
Mg (0.0000, 0.0000, 0.5000) [3 per cell]
Ga (0.0000, 0.0000, 0.1211) [6 per cell]
Ga (0.0000, 0.0000, 0.3969) [6 per cell]
Pd (0.0000, 0.0000, 0.2292) [6 per cell]

Results
Crystal system ... trigonal
Total energy ... -4.175 eV per atom
Density of states at the Fermi level ... 8.438 states/eV per cell

## TaMo2HRu (PBE-GGA)

Data for an optimized crystal structure of TaMo2HRu.

Cell: 4.0030 4.0030 4.1198 Å, 90.00 90.00 90.00°
Space group P4/mmm (No. 123)
Symmetry-distinct sites (fractional):
Ta (0.0000, 0.0000, 0.0000) [1 per cell]
Mo (0.0000, 0.5000, 0.5000) [2 per cell]
H (0.5000, 0.5000, 0.5000) [1 per cell]
Ru (0.5000, 0.5000, 0.0000) [1 per cell]

Results
ΔE to the lowest computed polymorph ... 0 meV per atom
Crystal system ... tetragonal
Total energy ... -9.177 eV per atom
Density of states at the Fermi level ... 5.705 states/eV per cell

## BaZnAu4 (PBE-GGA)

Data for an optimized crystal structure of BaZnAu4.

Cell: 8.1367 8.1367 8.1367 Å, 90.00 90.00 90.00°
Space group F-43m (No. 216)
Symmetry-distinct sites (fractional):
Ba (0.0000, 0.0000, 0.0000) [4 per cell]
Zn (0.2500, 0.2500, 0.7500) [4 per cell]
Au (0.1240, 0.1240, 0.3760) [16 per cell]

Results
ΔE to the lowest computed polymorph ... 107 meV per atom
Crystal system ... cubic
Total energy ... -3.004 eV per atom
Density of states at the Fermi level ... 25.686 states/eV per cell

## NpFe2Ge3 (PBE-GGA)

Data for an optimized crystal structure of NpFe2Ge3.

Cell: 9.6283 7.9210 4.9848 Å, 90.00 90.00 90.00°
Space group Cmcm (No. 63)
Symmetry-distinct sites (fractional):
Np (0.0000, 0.0806, 0.2500) [4 per cell]
Fe (0.2068, 0.5000, 0.0000) [8 per cell]
Ge (0.0000, 0.4350, 0.2500) [4 per cell]
Ge (0.1690, 0.2288, 0.7500) [8 per cell]

Results
Crystal system ... orthorhombic
Total energy ... -7.370 eV per atom
Density of states at the Fermi level ... 30.091 states/eV per cell